1.
# Mg2SbBr

Mg2SbBr at its PBEsol-relaxed geometry (meta-GGA SCAN, Alexandria via LeMat-Bulk).

Lattice parameters (Å, degrees): 5.2208 5.2208 3.4200 90.00 90.00 90.00
With the nearest neighbours (Å) after each atom.
Atoms (fractional coordinates):
Mg: 0.0000 0.5000 0.0000  4 Br 3.12, 4 Sb 3.12, 2 Mg 3.42
Mg: 0.5000 0.0000 0.0000  4 Br 3.12, 4 Sb 3.12, 2 Mg 3.42
Sb: 0.0000 0.0000 0.5000  8 Mg 3.12, 2 Sb 3.42
Br: 0.5000 0.5000 0.5000  8 Mg 3.12, 2 Br 3.42

Results
SG = No. 123
Magnetic moment = 0.000 μB per formula unit
E_form (uncorrected) = -438.6 meV per atom
Crystal system = tetragonal
Energy relative to the lowest polymorph listed for this composition = 1.04 eV per formula unit



2.
# BaV10S16

BaV10S16 at its PBEsol-relaxed geometry (meta-GGA SCAN, Alexandria via LeMat-Bulk).

Lattice parameters (Å, degrees): 6.3432 8.6890 8.9267 98.99 110.77 100.56
With the nearest neighbours (Å) after each atom.
Atoms (fractional coordinates):
Ba: 0.0000 0.0000 0.0000  10 S 3.11-3.17
V: 0.0000 0.0000 0.5000  6 S 2.36-2.37
V: 0.0322 0.4219 0.8603  6 S 2.24-2.48
V: 0.1794 0.7079 0.5041  5 S 2.23-2.44
V: 0.3196 0.2887 0.4940  5 S 2.23-2.46
V: 0.4624 0.5793 0.1415  6 S 2.25-2.47
V: 0.5000 0.0000 0.5000  6 S 2.35-2.37
V: 0.5376 0.4207 0.8585  6 S 2.25-2.47
V: 0.6804 0.7113 0.5060  5 S 2.23-2.46
V: 0.8206 0.2921 0.4959  5 S 2.23-2.44
V: 0.9678 0.5781 0.1397  6 S 2.24-2.48
S: 0.0546 0.8309 0.6871  3 V 2.26-2.37
S: 0.1210 0.8529 0.3148  4 V 2.23-2.45
S: 0.1704 0.6834 0.9936  3 V 2.24-2.31
S: 0.1997 0.4821 0.6574  5 V 2.43-2.56
S: 0.3006 0.5169 0.3421  5 V 2.44-2.57
S: 0.3333 0.3179 0.0042  3 V 2.25-2.32
S: 0.3796 0.1464 0.6855  4 V 2.23-2.44
S: 0.4521 0.1689 0.3124  3 V 2.26-2.37
S: 0.5479 0.8311 0.6876  3 V 2.26-2.37
S: 0.6204 0.8536 0.3145  4 V 2.23-2.44
S: 0.6667 0.6821 0.9958  3 V 2.25-2.32
S: 0.6994 0.4831 0.6579  5 V 2.44-2.57
S: 0.8003 0.5179 0.3426  5 V 2.43-2.56
S: 0.8296 0.3166 0.0064  3 V 2.24-2.31
S: 0.8790 0.1471 0.6852  4 V 2.23-2.45
S: 0.9454 0.1691 0.3129  3 V 2.26-2.37

Results
SG = No. 2
Magnetic moment = 2.918 μB per formula unit
E_form (uncorrected) = -1212.2 meV per atom
Crystal system = triclinic



3.
# BaMg2Pb

BaMg2Pb at its PBEsol-relaxed geometry (meta-GGA SCAN, Alexandria via LeMat-Bulk).

Lattice parameters (Å, degrees): 7.8436 7.8436 7.8436 90.00 90.00 90.00
With the nearest neighbours (Å) after each atom.
Atoms (fractional coordinates):
Ba: 0.0000 0.0000 0.0000  4 Mg 3.40, 4 Pb 3.40
Ba: 0.0000 0.5000 0.5000  4 Mg 3.40, 4 Pb 3.40
Ba: 0.5000 0.0000 0.5000  4 Mg 3.40, 4 Pb 3.40
Ba: 0.5000 0.5000 0.0000  4 Mg 3.40, 4 Pb 3.40
Mg: 0.0000 0.0000 0.5000  4 Pb 3.40, 4 Mg 3.40
Mg: 0.0000 0.5000 0.0000  4 Pb 3.40, 4 Mg 3.40
Mg: 0.2500 0.2500 0.7500  4 Ba 3.40, 4 Mg 3.40
Mg: 0.2500 0.7500 0.2500  4 Ba 3.40, 4 Mg 3.40
Mg: 0.5000 0.0000 0.0000  4 Pb 3.40, 4 Mg 3.40
Mg: 0.5000 0.5000 0.5000  4 Pb 3.40, 4 Mg 3.40
Mg: 0.7500 0.2500 0.2500  4 Ba 3.40, 4 Mg 3.40
Mg: 0.7500 0.7500 0.7500  4 Mg 3.40, 4 Ba 3.40
Pb: 0.2500 0.2500 0.2500  4 Ba 3.40, 4 Mg 3.40
Pb: 0.2500 0.7500 0.7500  4 Ba 3.40, 4 Mg 3.40
Pb: 0.7500 0.2500 0.7500  4 Ba 3.40, 4 Mg 3.40
Pb: 0.7500 0.7500 0.2500  4 Ba 3.40, 4 Mg 3.40

Results
E_form = -0.266 eV/atom
SG = No. 216
Magnetic moment = 0.000 μB per formula unit
Crystal system = cubic



Question: What is the magnetic moment in the second record?
Answer: 2.918 μB per formula unit



Question: What is the formula in the third record?
Answer: BaMg2Pb



Question: What is the magnetic moment in the second record?
Answer: 2.918 μB per formula unit



Question: Among the records above, which one has the highest magnetic moment?
Answer: BaV10S16